Version A
# FeSN2Cl PBE optimized geometry
data_FeSN2Cl
_chemical_formula_sum 'Fe1 S1 N2 Cl1'
_space_group_name_H-M_alt 'P 4/m m m'
_space_group_IT_number 123
_space_group_name_Hall '-P 4 2'
_cell_length_a 3.552
_cell_length_b 3.552
_cell_length_c 5.253
_cell_angle_alpha 90.00
_cell_angle_beta 90.00
_cell_angle_gamma 90.00
loop_
_atom_site_label
_atom_site_type_symbol
_atom_site_fract_x
_atom_site_fract_y
_atom_site_fract_z
Fe1 Fe 0.000 0.000 0.000
S1 S 0.000 0.000 0.500
N1 N 0.000 0.500 0.000
Cl1 Cl 0.500 0.500 0.500
# V	13.3	Å³/atom
# density	3.792	Mg/m³

Version B
# FeSN2Cl PBE optimized geometry
data_FeSN2Cl
_chemical_formula_sum 'Fe1 S1 N2 Cl1'
_space_group_name_H-M_alt 'P 4/m m m'
_space_group_IT_number 123
_space_group_name_Hall '-P 4 2'
_cell_length_a 3.501
_cell_length_b 3.501
_cell_length_c 7.038
_cell_angle_alpha 90.00
_cell_angle_beta 90.00
_cell_angle_gamma 90.00
loop_
_atom_site_label
_atom_site_type_symbol
_atom_site_fract_x
_atom_site_fract_y
_atom_site_fract_z
Fe1 Fe 0.000 0.000 0.000
S1 S 0.500 0.500 0.000
N1 N 0.000 0.500 0.500
Cl1 Cl 0.500 0.500 0.500
# V	17.3	Å³/atom
# density	2.914	Mg/m³

Q: Which of them is the least stable? A: version B.

Version A
# FeSeN2Cl PBE optimized geometry
data_FeSeN2Cl
_chemical_formula_sum 'Fe1 Se1 N2 Cl1'
_space_group_name_H-M_alt 'P 4/m m m'
_space_group_IT_number 123
_space_group_name_Hall '-P 4 2'
_cell_length_a 3.607
_cell_length_b 3.607
_cell_length_c 5.388
_cell_angle_alpha 90.00
_cell_angle_beta 90.00
_cell_angle_gamma 90.00
loop_
_atom_site_label
_atom_site_type_symbol
_atom_site_fract_x
_atom_site_fract_y
_atom_site_fract_z
Fe1 Fe 0.000 0.000 0.000
Se1 Se 0.000 0.000 0.500
N1 N 0.000 0.500 0.000
Cl1 Cl 0.500 0.500 0.500
# V	14.0	Å³/atom
# density	4.695	Mg/m³

Version B
# FeSeN2Cl PBE optimized geometry
data_FeSeN2Cl
_chemical_formula_sum 'Fe1 Se1 N2 Cl1'
_space_group_name_H-M_alt 'P 4/m m m'
_space_group_IT_number 123
_space_group_name_Hall '-P 4 2'
_cell_length_a 3.577
_cell_length_b 3.577
_cell_length_c 7.275
_cell_angle_alpha 90.00
_cell_angle_beta 90.00
_cell_angle_gamma 90.00
loop_
_atom_site_label
_atom_site_type_symbol
_atom_site_fract_x
_atom_site_fract_y
_atom_site_fract_z
Fe1 Fe 0.000 0.000 0.000
Se1 Se 0.500 0.500 0.000
N1 N 0.000 0.500 0.500
Cl1 Cl 0.500 0.500 0.500
# V	18.6	Å³/atom
# density	3.536	Mg/m³

Q: Which of them is the least stable? A: version B.

Version A
# FeTe2NCl PBE optimized geometry
data_FeTe2NCl
_chemical_formula_sum 'Fe1 Te2 N1 Cl1'
_space_group_name_H-M_alt 'P 4/m m m'
_space_group_IT_number 123
_space_group_name_Hall '-P 4 2'
_cell_length_a 5.404
_cell_length_b 5.404
_cell_length_c 3.384
_cell_angle_alpha 90.00
_cell_angle_beta 90.00
_cell_angle_gamma 90.00
loop_
_atom_site_label
_atom_site_type_symbol
_atom_site_fract_x
_atom_site_fract_y
_atom_site_fract_z
Fe1 Fe 0.000 0.000 0.000
Te1 Te 0.000 0.500 0.000
N1 N 0.000 0.000 0.500
Cl1 Cl 0.500 0.500 0.500
# V	19.8	Å³/atom
# density	6.059	Mg/m³

Version B
# FeTe2NCl PBE optimized geometry
data_FeTe2NCl
_chemical_formula_sum 'Fe1 Te2 N1 Cl1'
_space_group_name_H-M_alt 'P 4/m m m'
_space_group_IT_number 123
_space_group_name_Hall '-P 4 2'
_cell_length_a 5.414
_cell_length_b 5.414
_cell_length_c 3.373
_cell_angle_alpha 90.00
_cell_angle_beta 90.00
_cell_angle_gamma 90.00
loop_
_atom_site_label
_atom_site_type_symbol
_atom_site_fract_x
_atom_site_fract_y
_atom_site_fract_z
Fe1 Fe 0.000 0.000 0.000
Te1 Te 0.000 0.500 0.500
N1 N 0.500 0.500 0.000
Cl1 Cl 0.500 0.500 0.500
# V	19.8	Å³/atom
# density	6.055	Mg/m³

Q: Which of them is the least stable? A: version B.

Version A
# NaFeCl2 PBE optimized geometry
data_NaFeCl2
_chemical_formula_sum 'Na3 Fe3 Cl6'
_space_group_name_H-M_alt 'R -3 m'
_space_group_IT_number 166
_space_group_name_Hall '-R 3 2"'
_cell_length_a 3.8811
_cell_length_b 3.8811
_cell_length_c 22.7642
_cell_angle_alpha 90.00
_cell_angle_beta 90.00
_cell_angle_gamma 120.00
loop_
_atom_site_label
_atom_site_type_symbol
_atom_site_fract_x
_atom_site_fract_y
_atom_site_fract_z
Na1 Na 0.0000 0.0000 0.0000
Fe1 Fe 0.0000 0.0000 0.5000
Cl1 Cl 0.0000 0.0000 0.4034
# V	24.7	Å³/atom
# density	2.512	Mg/m³

Version B
# NaFeCl2 PBE optimized geometry
data_NaFeCl2
_chemical_formula_sum 'Na4 Fe4 Cl8'
_space_group_name_H-M_alt 'F m -3 m'
_space_group_IT_number 225
_space_group_name_Hall '-F 4 2 3'
_cell_length_a 6.598
_cell_length_b 6.598
_cell_length_c 6.598
_cell_angle_alpha 90.00
_cell_angle_beta 90.00
_cell_angle_gamma 90.00
loop_
_atom_site_label
_atom_site_type_symbol
_atom_site_fract_x
_atom_site_fract_y
_atom_site_fract_z
Na1 Na 0.000 0.000 0.000
Fe1 Fe 0.000 0.000 0.500
Cl1 Cl 0.250 0.250 0.250
# V	18.0	Å³/atom
# density	3.462	Mg/m³

Version C
# NaFeCl2 PBE optimized geometry
data_NaFeCl2
_chemical_formula_sum 'Na4 Fe4 Cl8'
_space_group_name_H-M_alt 'I -4 2 d'
_space_group_IT_number 122
_space_group_name_Hall 'I -4 2bw'
_cell_length_a 5.668
_cell_length_b 5.668
_cell_length_c 12.304
_cell_angle_alpha 90.00
_cell_angle_beta 90.00
_cell_angle_gamma 90.00
loop_
_atom_site_label
_atom_site_type_symbol
_atom_site_fract_x
_atom_site_fract_y
_atom_site_fract_z
Na1 Na 0.000 0.000 0.000
Fe1 Fe 0.000 0.000 0.500
Cl1 Cl 0.196 0.250 0.625
# V	24.7	Å³/atom
# density	2.516	Mg/m³

Q: Which of them is the least stable? A: version B.

Version A
# NaFe2Cl PBE optimized geometry
data_NaFe2Cl
_chemical_formula_sum 'Na4 Fe8 Cl4'
_space_group_name_H-M_alt 'F m -3 m'
_space_group_IT_number 225
_space_group_name_Hall '-F 4 2 3'
_cell_length_a 6.472
_cell_length_b 6.472
_cell_length_c 6.472
_cell_angle_alpha 90.00
_cell_angle_beta 90.00
_cell_angle_gamma 90.00
loop_
_atom_site_label
_atom_site_type_symbol
_atom_site_fract_x
_atom_site_fract_y
_atom_site_fract_z
Na1 Na 0.000 0.000 0.000
Fe1 Fe 0.250 0.250 0.250
Cl1 Cl 0.000 0.000 0.500
# V	16.9	Å³/atom
# density	4.168	Mg/m³

Version B
# NaFe2Cl PBE optimized geometry
data_NaFe2Cl
_chemical_formula_sum 'Na4 Fe8 Cl4'
_space_group_name_H-M_alt 'I -4 2 d'
_space_group_IT_number 122
_space_group_name_Hall 'I -4 2bw'
_cell_length_a 7.777
_cell_length_b 7.777
_cell_length_c 4.979
_cell_angle_alpha 90.00
_cell_angle_beta 90.00
_cell_angle_gamma 90.00
loop_
_atom_site_label
_atom_site_type_symbol
_atom_site_fract_x
_atom_site_fract_y
_atom_site_fract_z
Na1 Na 0.000 0.000 0.000
Fe1 Fe 0.184 0.750 0.625
Cl1 Cl 0.000 0.000 0.500
# V	18.8	Å³/atom
# density	3.753	Mg/m³

Q: Which of them is the least stable? A: version A.

Version A
# Na2FeCl2 PBE optimized geometry
data_Na2FeCl2
_chemical_formula_sum 'Na4 Fe2 Cl4'
_space_group_name_H-M_alt 'P 4/m b m'
_space_group_IT_number 127
_space_group_name_Hall '-P 4 2ab'
_cell_length_a 8.174
_cell_length_b 8.174
_cell_length_c 3.374
_cell_angle_alpha 90.00
_cell_angle_beta 90.00
_cell_angle_gamma 90.00
loop_
_atom_site_label
_atom_site_type_symbol
_atom_site_fract_x
_atom_site_fract_y
_atom_site_fract_z
Na1 Na 0.143 0.357 0.000
Fe1 Fe 0.000 0.000 0.000
Cl1 Cl 0.154 0.654 0.500
# V	22.5	Å³/atom
# density	2.545	Mg/m³

Version B
# Na2FeCl2 PBE optimized geometry
data_Na2FeCl2
_chemical_formula_sum 'Na4 Fe2 Cl4'
_space_group_name_H-M_alt 'I 4/m m m'
_space_group_IT_number 139
_space_group_name_Hall '-I 4 2'
_cell_length_a 5.400
_cell_length_b 5.400
_cell_length_c 11.345
_cell_angle_alpha 90.00
_cell_angle_beta 90.00
_cell_angle_gamma 90.00
loop_
_atom_site_label
_atom_site_type_symbol
_atom_site_fract_x
_atom_site_fract_y
_atom_site_fract_z
Na1 Na 0.000 0.000 0.216
Fe1 Fe 0.000 0.000 0.500
Cl1 Cl 0.000 0.500 0.250
# V	33.1	Å³/atom
# density	1.734	Mg/m³

Q: Which of them is the least stable? A: version B.